No. 1
TaW (SCAN, PBEsol geometry); calculated density = 17.84 g/cm³; energy relative to the elements = 0.477 eV/atom; space-group type = No. 164
1.0
2.796 0.000 0.000
-1.398 2.421 0.000
0.000 0.000 10.030
Ta W
2 2
Direct
0.333 0.667 0.371 Ta
0.667 0.333 0.629 Ta
0.333 0.667 0.880 W
0.667 0.333 0.120 W

No. 2
WAuCl2 (SCAN, PBEsol geometry); calculated density = 9.89 g/cm³; space-group type = No. 6; energy relative to the elements, uncorrected = 0.07 eV per atom
1.0
2.980 0.000 0.000
0.000 3.064 0.000
-1.465 0.000 8.305
W Au Cl
1 1 2
Direct
0.000 0.000 0.000 W
0.606 0.500 0.217 Au
0.209 0.000 0.426 Cl
0.895 0.500 0.786 Cl

No. 3
MgZrCd2 (SCAN, PBEsol geometry); calculated density = 6.79 g/cm³; energy relative to the elements = -0.151 eV/atom; space-group type = No. 38
1.0
4.655 0.000 0.000
0.000 1.523 5.874
0.000 -1.523 5.874
Mg Zr Cd
1 1 2
Direct
0.000 0.000 0.000 Mg
0.500 0.348 0.348 Zr
0.000 0.744 0.744 Cd
0.500 0.603 0.603 Cd

No. 4
ZrBeTc (SCAN, PBEsol geometry); calculated density = 7.55 g/cm³; energy relative to the elements = 0.050 eV/atom; space-group type = No. 42
1.0
0.000 2.231 5.611
1.740 0.000 5.611
1.740 2.231 0.000
Zr Be Tc
1 1 1
Direct
0.000 0.000 0.000 Zr
0.677 0.677 0.323 Be
0.309 0.309 0.691 Tc

No. 5
NpCo2Ge2 (SCAN, PBEsol geometry); calculated density = 10.99 g/cm³; energy relative to the elements = -0.151 eV/atom; space-group type = No. 139
1.0
-1.941 1.941 5.011
1.941 -1.941 5.011
1.941 1.941 -5.011
Np Co Ge
1 2 2
Direct
0.000 0.000 0.000 Np
0.250 0.750 0.500 Co
0.750 0.250 0.500 Co
0.374 0.374 0.000 Ge
0.626 0.626 0.000 Ge

No. 6
HfTaAg2B (SCAN, PBEsol geometry); calculated density = 7.95 g/cm³; energy relative to the elements = 2.291 eV/atom; space-group type = No. 123
1.0
4.990 0.000 0.000
0.000 4.990 0.000
0.000 0.000 4.915
Hf Ta Ag B
1 1 2 1
Direct
0.000 0.000 0.000 Hf
0.000 0.000 0.500 Ta
0.000 0.500 0.500 Ag
0.500 0.000 0.500 Ag
0.500 0.500 0.000 B

No. 7
CrAsAu2 (SCAN, PBEsol geometry); calculated density = 13.74 g/cm³; energy relative to the elements = 0.224 eV/atom; space-group type = No. 160
1.0
1.440 0.831 8.766
-1.440 0.831 8.766
0.000 -1.663 8.766
Cr As Au
1 1 2
Direct
0.000 0.000 0.000 Cr
0.732 0.732 0.732 As
0.253 0.253 0.253 Au
0.496 0.496 0.496 Au

No. 8
SrRhBr2 (SCAN, PBEsol geometry); calculated density = 6.51 g/cm³; space-group type = No. 225; energy relative to the elements, uncorrected = -0.73 eV per atom
1.0
0.000 3.548 3.548
3.548 0.000 3.548
3.548 3.548 0.000
Sr Rh Br
1 1 2
Direct
0.000 0.000 0.000 Sr
0.500 0.500 0.500 Rh
0.250 0.250 0.250 Br
0.750 0.750 0.750 Br

No. 9
CaLa3Rh (SCAN, PBEsol geometry); calculated density = 5.27 g/cm³; energy relative to the elements = -0.341 eV/atom; space-group type = No. 221
1.0
5.606 0.000 0.000
0.000 5.606 0.000
0.000 0.000 5.606
Ca La Rh
1 3 1
Direct
0.000 0.000 0.000 Ca
0.000 0.500 0.500 La
0.500 0.000 0.500 La
0.500 0.500 0.000 La
0.500 0.500 0.500 Rh

No. 10
SiNi2P4O14 (SCAN, PBEsol geometry); calculated density = 3.35 g/cm³; space-group type = No. 15; energy relative to the elements, uncorrected = -2.33 eV per atom
1.0
8.463 -2.441 0.000
8.463 2.441 0.000
-2.896 0.000 11.836
Si Ni P O
2 4 8 28
Direct
0.165 0.835 0.750 Si
0.835 0.165 0.250 Si
0.098 0.398 0.629 Ni
0.398 0.098 0.129 Ni
0.602 0.902 0.871 Ni
0.902 0.602 0.371 Ni
0.028 0.696 0.084 P
0.243 0.500 0.862 P
0.304 0.972 0.416 P
0.500 0.243 0.362 P
0.500 0.757 0.638 P
0.696 0.028 0.584 P
0.757 0.500 0.138 P
0.972 0.304 0.916 P
0.000 0.392 0.209 O
0.000 0.608 0.791 O
0.037 0.093 0.832 O
0.093 0.037 0.332 O
0.120 0.686 0.981 O
0.173 0.242 0.456 O
0.188 0.521 0.379 O
0.242 0.173 0.956 O
0.278 0.412 0.134 O
0.312 0.596 0.823 O
0.314 0.880 0.519 O
0.392 0.000 0.709 O
0.404 0.688 0.677 O
0.412 0.278 0.634 O
0.479 0.812 0.121 O
0.521 0.188 0.879 O
0.588 0.722 0.366 O
0.596 0.312 0.323 O
0.608 0.000 0.291 O
0.686 0.120 0.481 O
0.688 0.404 0.177 O
0.722 0.588 0.866 O
0.758 0.827 0.044 O
0.812 0.479 0.621 O
0.827 0.758 0.544 O
0.880 0.314 0.019 O
0.907 0.963 0.668 O
0.963 0.907 0.168 O

No. 11
Li4Mn3O6F (SCAN, PBEsol geometry); calculated density = 4.18 g/cm³; space-group type = No. 12; energy relative to the elements, uncorrected = -2.33 eV per atom
1.0
4.566 -2.119 0.000
4.566 2.119 0.000
-0.837 0.000 6.312
Li Mn O F
4 3 6 1
Direct
0.076 0.076 0.210 Li
0.221 0.221 0.640 Li
0.779 0.779 0.360 Li
0.924 0.924 0.790 Li
0.355 0.355 0.073 Mn
0.500 0.500 0.500 Mn
0.645 0.645 0.927 Mn
0.156 0.156 0.936 O
0.300 0.300 0.354 O
0.438 0.438 0.798 O
0.562 0.562 0.202 O
0.700 0.700 0.646 O
0.844 0.844 0.064 O
0.000 0.000 0.500 F

No. 12
CrRhSe2 (SCAN, PBEsol geometry); calculated density = 8.61 g/cm³; distance to the lowest polymorph of the same formula = 0 meV/atom; space-group type = No. 225; energy relative to the elements, uncorrected = -0.03 eV per atom
1.0
0.000 3.113 3.113
3.113 0.000 3.113
3.113 3.113 0.000
Cr Rh Se
1 1 2
Direct
0.000 0.000 0.000 Cr
0.500 0.500 0.500 Rh
0.250 0.250 0.250 Se
0.750 0.750 0.750 Se

No. 13
KCd2Au2 (SCAN, PBEsol geometry); calculated density = 9.03 g/cm³; energy relative to the elements = -0.328 eV/atom; distance to the lowest polymorph of the same formula = 0 meV/atom; space-group type = No. 139
1.0
-2.226 2.226 6.107
2.226 -2.226 6.107
2.226 2.226 -6.107
K Cd Au
1 2 2
Direct
0.000 0.000 0.000 K
0.250 0.750 0.500 Cd
0.750 0.250 0.500 Cd
0.391 0.391 0.000 Au
0.609 0.609 0.000 Au

no.,energy (eV per atom)
1,-67.658
2,-38.628
3,-24.277
4,-23.321
5,-36.110
6,-37.593
7,-43.998
8,-24.473
9,-34.891
10,-10.481
11,-9.852
12,-23.111
13,-41.823